1.
First-principles (GGA-PBE) data for Ti7Pd3Au after structural relaxation, as listed in Alexandria via LeMat-Bulk.

Computed properties:
Fermi-level density of states: 17.0 states/eV per cell
energy of formation: -66 kJ/mol of formula units
calculated total energy: -6.800 eV per atom

Unit cell a=6.7811 b=6.7811 c=4.7909 alpha=110.62 beta=110.62 gamma=82.81
With the nearest neighbours (Å) after each atom.
Element x y z (fractional)
Ti  0.0000  0.0000  0.0000  2 Au 2.40, 2 Pd 2.60
Ti  0.0992  0.5422  0.3206  1 Pd 2.56, 3 Ti 2.72-2.76
Ti  0.3005  0.3005  0.8008  2 Pd 2.60, 1 Au 2.70, 2 Ti 2.72
Ti  0.4578  0.9008  0.6794  1 Pd 2.56, 3 Ti 2.72-2.76
Ti  0.5422  0.0992  0.3206  1 Pd 2.56, 3 Ti 2.72-2.76
Ti  0.6995  0.6995  0.1992  2 Pd 2.60, 1 Au 2.70, 2 Ti 2.72
Ti  0.9008  0.4578  0.6794  1 Pd 2.56, 3 Ti 2.72-2.76
Pd  0.2900  0.7100  0.0000  7 Ti 2.60-2.89
Pd  0.5000  0.5000  0.5000  4 Ti 2.56
Pd  0.7100  0.2900  0.0000  7 Ti 2.60-2.89
Au  0.0000  0.0000  0.5000  2 Ti 2.40

2.
First-principles (GGA-PBE) data for TiPd2Au2 after structural relaxation, as listed in Alexandria via LeMat-Bulk.

Computed properties:
Fermi-level density of states: 9.4 states/eV per cell
E above lowest polymorph: 329.8 meV/atom
energy of formation: -37 kJ/mol of formula units
calculated total energy: -5.044 eV per atom

Unit cell a=6.9762 b=6.9762 c=3.6456 alpha=90.00 beta=90.00 gamma=90.00
With the nearest neighbours (Å) after each atom.
Element x y z (fractional)
Ti  0.0000  0.0000  0.0000  4 Au 2.69
Ti  0.5000  0.5000  0.0000  4 Au 2.69
Pd  0.1576  0.3424  0.5000  6 Au 2.69-2.78
Pd  0.3424  0.8424  0.5000  6 Au 2.69-2.78
Pd  0.6576  0.1576  0.5000  6 Au 2.69-2.78
Pd  0.8424  0.6576  0.5000  6 Au 2.69-2.78
Au  0.1420  0.6420  0.0000  2 Ti 2.69, 6 Pd 2.69-2.78, 1 Au 2.80
Au  0.3580  0.1420  0.0000  2 Ti 2.69, 6 Pd 2.69-2.78, 1 Au 2.80
Au  0.6420  0.8580  0.0000  2 Ti 2.69, 6 Pd 2.69-2.78, 1 Au 2.80
Au  0.8580  0.3580  0.0000  2 Ti 2.69, 6 Pd 2.69-2.78, 1 Au 2.80

3.
First-principles (GGA-PBE) data for Ti4Pd8Au after structural relaxation, as listed in Alexandria via LeMat-Bulk.

Computed properties:
Fermi-level density of states: 9.1 states/eV per cell
energy of formation: -558 kJ/mol of formula units
calculated total energy: -6.322 eV per atom

Unit cell a=2.9603 b=4.4248 c=16.2684 alpha=90.00 beta=90.00 gamma=90.00
With the nearest neighbours (Å) after each atom.
Element x y z (fractional)
Ti  0.0000  0.0000  0.0000  8 Pd 2.56-2.74
Ti  0.0000  0.5000  0.1832  10 Pd 2.71-2.80, 2 Ti 2.96
Ti  0.5000  0.0000  0.4269  10 Pd 2.69-2.79, 2 Ti 2.96
Ti  0.5000  0.5000  0.6210  6 Pd 2.81-2.85, 2 Ti 2.96
Pd  0.0000  0.0000  0.2891  4 Ti 2.69-2.80, 8 Pd 2.72-2.96
Pd  0.0000  0.0000  0.5658  1 Au 2.63, 2 Pd 2.70, 6 Ti 2.70-2.81
Pd  0.0000  0.5000  0.4709  6 Pd 2.70-2.96, 6 Ti 2.76-2.85
Pd  0.0000  0.5000  0.8874  8 Pd 2.67-2.96, 2 Ti 2.87
Pd  0.5000  0.0000  0.1418  6 Ti 2.74-2.75, 6 Pd 2.76-2.96
Pd  0.5000  0.0000  0.8719  2 Ti 2.56, 4 Pd 2.67, 2 Au 2.78
Pd  0.5000  0.5000  0.0399  6 Ti 2.74-2.76, 6 Pd 2.76-2.96
Pd  0.5000  0.5000  0.3224  4 Ti 2.71-2.79, 8 Pd 2.72-2.96
Au  0.0000  0.0000  0.7275  3 Pd 2.63-2.78

4.
First-principles (GGA-PBE) data for Ti2PdAu after structural relaxation, as listed in Alexandria via LeMat-Bulk.

Computed properties:
Fermi-level density of states: 14.5 states/eV per cell
energy of formation: -35 kJ/mol of formula units
calculated total energy: -6.157 eV per atom

Unit cell a=5.7702 b=5.7702 c=5.7702 alpha=102.73 beta=102.73 gamma=124.00
With the nearest neighbours (Å) after each atom.
Element x y z (fractional)
Ti  0.1096  0.6250  0.9846  2 Pd 2.56, 2 Au 2.71, 2 Ti 2.72
Ti  0.3750  0.3596  0.4846  2 Pd 2.56, 2 Au 2.71, 2 Ti 2.72
Ti  0.6404  0.1250  0.0154  2 Pd 2.56, 2 Au 2.71, 2 Ti 2.72
Ti  0.8750  0.8904  0.5154  2 Pd 2.56, 2 Au 2.71, 2 Ti 2.72
Pd  0.0000  0.0000  0.0000  4 Ti 2.56, 2 Au 2.71
Pd  0.7500  0.2500  0.5000  4 Ti 2.56, 2 Au 2.71
Au  0.2500  0.7500  0.5000  2 Pd 2.71, 4 Ti 2.71
Au  0.5000  0.5000  0.0000  2 Pd 2.71, 4 Ti 2.71

5.
First-principles (GGA-PBE) data for TiPd2Au4 after structural relaxation, as listed in Alexandria via LeMat-Bulk.

Computed properties:
Fermi-level density of states: 5.2 states/eV per cell
energy of formation: -42 kJ/mol of formula units
calculated total energy: -4.547 eV per atom

Unit cell a=5.7349 b=5.7349 c=12.8660 alpha=90.00 beta=90.00 gamma=140.73
With the nearest neighbours (Å) after each atom.
Element x y z (fractional)
Ti  0.0878  0.9122  0.7500  4 Pd 2.52-2.53, 4 Au 2.66-2.68
Ti  0.9122  0.0878  0.2500  4 Pd 2.52-2.53, 4 Au 2.66-2.68
Pd  0.2607  0.7393  0.2500  2 Ti 2.53
Pd  0.4373  0.5627  0.7500  2 Ti 2.52
Pd  0.5627  0.4373  0.2500  2 Ti 2.52
Pd  0.7393  0.2607  0.7500  2 Ti 2.53
Au  0.0660  0.9340  0.0887  1 Ti 2.66, 4 Au 2.69-2.88, 3 Pd 2.83-2.96
Au  0.0660  0.9340  0.4113  1 Ti 2.66, 4 Au 2.69-2.88, 3 Pd 2.83-2.96
Au  0.2357  0.7643  0.5827  1 Ti 2.68, 5 Au 2.87-2.89, 2 Pd 2.89
Au  0.2357  0.7643  0.9173  1 Ti 2.68, 5 Au 2.87-2.89, 2 Pd 2.89
Au  0.7643  0.2357  0.0827  1 Ti 2.68, 5 Au 2.87-2.89, 2 Pd 2.89
Au  0.7643  0.2357  0.4173  1 Ti 2.68, 5 Au 2.87-2.89, 2 Pd 2.89
Au  0.9340  0.0660  0.5887  1 Ti 2.66, 4 Au 2.69-2.88, 3 Pd 2.83-2.96
Au  0.9340  0.0660  0.9113  1 Ti 2.66, 4 Au 2.69-2.88, 3 Pd 2.83-2.96

6.
First-principles (GGA-PBE) data for TiPd2Au2 after structural relaxation, as listed in Alexandria via LeMat-Bulk.

Computed properties:
Fermi-level density of states: 6.3 states/eV per cell
E above lowest polymorph: 0.0 meV/atom
energy of formation: -196 kJ/mol of formula units
calculated total energy: -5.374 eV per atom

Unit cell a=4.9709 b=4.6527 c=7.4559 alpha=90.00 beta=108.60 gamma=90.00
With the nearest neighbours (Å) after each atom.
Element x y z (fractional)
Ti  0.0705  0.2500  0.3053  5 Au 2.76-2.91, 7 Pd 2.82-2.88
Ti  0.9295  0.7500  0.6947  5 Au 2.76-2.91, 7 Pd 2.82-2.88
Pd  0.1336  0.7500  0.0950  6 Au 2.82-2.96, 3 Pd 2.83-2.84, 3 Ti 2.83-2.88
Pd  0.3338  0.7500  0.4965  5 Au 2.79-2.87, 4 Ti 2.82-2.86, 3 Pd 2.84
Pd  0.6662  0.2500  0.5035  5 Au 2.79-2.87, 4 Ti 2.82-2.86, 3 Pd 2.84
Pd  0.8664  0.2500  0.9050  6 Au 2.82-2.96, 3 Pd 2.83-2.84, 3 Ti 2.83-2.88
Au  0.2505  0.2500  0.6958  3 Ti 2.76-2.82, 6 Pd 2.80-2.96, 3 Au 2.87-2.92
Au  0.4613  0.2500  0.1087  2 Ti 2.78-2.91, 5 Pd 2.79-2.88, 5 Au 2.87-2.93
Au  0.5387  0.7500  0.8913  2 Ti 2.78-2.91, 5 Pd 2.79-2.88, 5 Au 2.87-2.93
Au  0.7495  0.7500  0.3042  3 Ti 2.76-2.82, 6 Pd 2.80-2.96, 3 Au 2.87-2.92